[1]
Density functional theory data (PBE) for Ba4YMg after structural relaxation.

The value obtained for the formation energy is 0.480 eV per atom. The raw total energy is -2.145 eV/atom. As for the magnetic moment: 1.9 μB/f.u.

It has space group F-43m (No. 216), with a = 10.606 Å, b = 10.606 Å, c = 10.606 Å, α = 90.00°, β = 90.00° and γ = 90.00°. The distinct sites, in fractional coordinates, are Ba at (0.125, 0.125, 0.125), Y at (0.000, 0.000, 0.500) and Mg at (0.250, 0.250, 0.750).

[2]
Density functional theory data (PBE) for Ba3InGa2Ag6 after structural relaxation.

The value obtained for the formation energy is -0.152 eV per atom. The raw total energy is -2.791 eV/atom. As for the magnetic moment: 0.0 μB/f.u.

It has space group P-3m1 (No. 164), with a = 6.9253 Å, b = 6.9253 Å, c = 8.6106 Å, α = 90.00°, β = 90.00° and γ = 120.00°. The distinct sites, in fractional coordinates, are Ba at (0.0000, 0.0000, 0.0000), Ba at (0.3333, 0.6667, 0.6888), In at (0.0000, 0.0000, 0.5000), Ga at (0.3333, 0.6667, 0.0782) and Ag at (0.1935, 0.3869, 0.3200).

[3]
Density functional theory data (PBE) for PmCdAs after structural relaxation.

The value obtained for the formation energy is -0.813 eV per atom. The raw total energy is -4.251 eV/atom. As for the magnetic moment: 0.0 μB/f.u.

It has space group C2/m (No. 12), with a = 12.427 Å, b = 4.334 Å, c = 5.799 Å, α = 90.00°, β = 90.12° and γ = 90.00°. The distinct sites, in fractional coordinates, are Pm at (0.158, 0.000, 0.250), Cd at (0.045, 0.500, 0.750) and As at (0.183, 0.000, 0.749).